[1]
Tl2Ag2S7 | PBE-GGA | relaxed

- electronic total energy (eV per atom) = -3.56
- formation energy from raw total energies (eV/atom) = 0.017

Cell lengths 4.7717, 7.8152, 8.5147 Å; angles 64.97, 78.99, 81.56 degrees
Space group P-1 (No. 2)
Asymmetric unit:
Tl: 0.0247 0.1841 0.2584 [2 per cell]
Ag: 0.4869 0.7573 0.3806 [2 per cell]
S: 0.1186 0.5089 0.5833 [2 per cell]
S: 0.3601 0.9012 0.0697 [2 per cell]
S: 0.4260 0.4438 0.9337 [2 per cell]
S: 0.5000 0.0000 0.5000 [1 per cell]

[2]
Mg3MoP | PBE-GGA | relaxed

- electronic total energy (eV per atom) = -2.84
- E above lowest polymorph (meV per atom) = 731
- formation enthalpy at 0 K (eV/atom) = 1.368

Cell lengths 5.1672, 5.1672, 5.1672 Å; angles 90.00, 90.00, 90.00 degrees
Space group Pm-3m (No. 221)
Asymmetric unit:
Mg: 0.0000 0.0000 0.5000 [3 per cell]
Mo: 0.0000 0.0000 0.0000 [1 per cell]
P: 0.5000 0.5000 0.5000 [1 per cell]

[3]
YAs2PbBr | PBE-GGA | relaxed

- electronic total energy (eV per atom) = -4.01
- E above lowest polymorph (meV per atom) = 427
- formation energy from raw total energies (eV/atom) = 0.218

Cell lengths 5.3612, 5.3612, 5.4757 Å; angles 90.00, 90.00, 90.00 degrees
Space group P4/mmm (No. 123)
Asymmetric unit:
Y: 0.0000 0.0000 0.0000 [1 per cell]
As: 0.0000 0.5000 0.5000 [2 per cell]
Pb: 0.5000 0.5000 0.5000 [1 per cell]
Br: 0.5000 0.5000 0.0000 [1 per cell]

[4]
PmZrPtO6 | PBE-GGA | relaxed

- electronic total energy (eV per atom) = -7.57
- formation energy from raw total energies (eV/atom) = -2.112

Cell lengths 4.9754, 4.9754, 9.9982 Å; angles 90.00, 90.00, 90.00 degrees
Space group P4_2nm (No. 102)
Asymmetric unit:
Pm: 0.0000 0.0000 0.0000 [2 per cell]
Zr: 0.0000 0.0000 0.6630 [2 per cell]
Pt: 0.0000 0.0000 0.3269 [2 per cell]
O: 0.1753 0.1753 0.4856 [4 per cell]
O: 0.2024 0.2024 0.1830 [4 per cell]
O: 0.2153 0.2153 0.8136 [4 per cell]

[5]
Pr7Nd2Er2 | PBE-GGA | relaxed

- electronic total energy (eV per atom) = -4.61
- E above lowest polymorph (meV per atom) = 0
- formation enthalpy at 0 K (eV/atom) = 0.131

Cell lengths 11.7202, 11.6187, 6.1695 Å; angles 90.00, 112.08, 90.00 degrees
Space group C2/m (No. 12)
Asymmetric unit:
Pr: 0.0000 0.0000 0.0000 [2 per cell]
Pr: 0.1828 0.2289 0.1788 [8 per cell]
Pr: 0.2266 0.0000 0.6000 [4 per cell]
Nd: 0.0744 0.5000 0.7988 [4 per cell]
Er: 0.0000 0.2187 0.5000 [4 per cell]

[6]
Rb2CaBe2O4 | PBE-GGA | relaxed

- electronic total energy (eV per atom) = -5.63
- formation energy from raw total energies (eV/atom) = -2.164

Cell lengths 12.5241, 3.2795, 6.6720 Å; angles 90.00, 110.94, 90.00 degrees
Space group C2/m (No. 12)
Asymmetric unit:
Rb: 0.1333 0.0000 0.0447 [4 per cell]
Ca: 0.0000 0.0000 0.5000 [2 per cell]
Be: 0.1780 0.5000 0.4591 [4 per cell]
O: 0.0497 0.5000 0.3019 [4 per cell]
O: 0.2083 0.0000 0.6075 [4 per cell]

- What is the formula in the fifth record?
  Pr7Nd2Er2